Computed, not measured: a relaxed MnSbI6 crystal at the PBE-GGA level of DFT.

Structure (CIF):
```
data_MnSbI6
_symmetry_space_group_name_H-M 'C 1 2/m 1'
_symmetry_Int_Tables_number 12
_cell_length_a 7.348
_cell_length_b 13.133
_cell_length_c 7.351
_cell_angle_alpha 90.00
_cell_angle_beta 109.74
_cell_angle_gamma 90.00
loop_
_symmetry_equiv_pos_as_xyz
'x,y,z'
'-x,-y,-z'
'-x,y,-z'
'x,-y,z'
'x+1/2,y+1/2,z'
'-x+1/2,-y+1/2,-z'
'-x+1/2,y+1/2,-z'
'x+1/2,-y+1/2,z'
loop_
_atom_site_label
_atom_site_type_symbol
_atom_site_fract_x
_atom_site_fract_y
_atom_site_fract_z
Mn1 Mn 0.000 0.000 0.000
Sb1 Sb 0.000 0.500 0.500
I1 I 0.220 0.149 0.223
I2 I 0.246 0.500 0.250
```

Output
Formation energy (no corrections): -0.256 eV/atom
E_tot: -3.080 eV per atom
Energy above the most stable polymorph in this dataset: 0.0 meV per atom